Record 1
ZnW after structural relaxation, computed with PBE.

Output
M_tot   0.00 Bohr magnetons per cell
Relative energy among the computed polymorphs   0.27 eV per formula unit
Crystal system   orthorhombic
Calculated formation energy   0.30 eV per atom

Cell and atoms, written as CIF:
```
data_ZnW
_cell_length_a 4.322
_cell_length_b 4.894
_cell_length_c 3.445
_cell_angle_alpha 69.39
_cell_angle_beta 90.00
_cell_angle_gamma 116.20
_space_group_name_H-M_alt 'P 1'
_space_group_IT_number 1
_space_group_name_Hall 'P 1'
loop_
_atom_site_label
_atom_site_fract_x
_atom_site_fract_y
_atom_site_fract_z
_atom_site_occupancy
W1 0.000 0.000 0.000 1
W2 0.250 0.500 0.250 1
Zn1 0.511 0.023 0.489 1
Zn2 0.739 0.477 0.761 1
```

---

Record 2
MnSbRu2C after structural relaxation, computed with PBE.

Output
M_tot   0.46 Bohr magnetons per cell
ΔE_f (raw)   11.1 eV/f.u.
Crystal system   tetragonal

Cell and atoms, written as CIF:
```
data_MnSbRu2C
_cell_length_a 4.391
_cell_length_b 4.737
_cell_length_c 4.391
_cell_angle_alpha 90.00
_cell_angle_beta 90.00
_cell_angle_gamma 90.00
_space_group_name_H-M_alt 'P 1'
_space_group_IT_number 1
_space_group_name_Hall 'P 1'
loop_
_atom_site_label
_atom_site_fract_x
_atom_site_fract_y
_atom_site_fract_z
_atom_site_occupancy
Sb1 0.000 0.500 0.000 1
C1 0.500 0.500 0.500 1
Mn1 0.000 0.000 0.000 1
Ru1 0.000 0.000 0.500 1
Ru2 0.500 0.000 0.000 1
```

---

Record 3
Ca2CeSmTl4 after structural relaxation, computed with PBE.

Output
M_tot   1.06 Bohr magnetons per cell
Crystal system   trigonal
Calculated formation energy   -0.36 eV per atom

Cell and atoms, written as CIF:
```
data_Ca2CeSmTl4
_cell_length_a 5.500
_cell_length_b 5.500
_cell_length_c 9.536
_cell_angle_alpha 73.24
_cell_angle_beta 73.24
_cell_angle_gamma 60.00
_space_group_name_H-M_alt 'P 1'
_space_group_IT_number 1
_space_group_name_Hall 'P 1'
loop_
_atom_site_label
_atom_site_fract_x
_atom_site_fract_y
_atom_site_fract_z
_atom_site_occupancy
Ca1 0.750 0.750 0.751 1
Ca2 0.250 0.250 0.249 1
Ce1 0.500 0.500 0.500 1
Sm1 0.000 0.000 0.000 1
Tl1 0.375 0.375 0.875 1
Tl2 0.875 0.875 0.374 1
Tl3 0.125 0.125 0.626 1
Tl4 0.625 0.625 0.125 1
```

---

Record 4
BaSr2Fe after structural relaxation, computed with PBE.

Output
M_tot   2.89 Bohr magnetons per cell
Relative energy among the computed polymorphs   1.11 eV per formula unit
Crystal system   monoclinic
Calculated formation energy   0.71 eV per atom

Cell and atoms, written as CIF:
```
data_BaSr2Fe
_cell_length_a 7.300
_cell_length_b 7.300
_cell_length_c 3.975
_cell_angle_alpha 77.26
_cell_angle_beta 77.26
_cell_angle_gamma 118.61
_space_group_name_H-M_alt 'P 1'
_space_group_IT_number 1
_space_group_name_Hall 'P 1'
loop_
_atom_site_label
_atom_site_fract_x
_atom_site_fract_y
_atom_site_fract_z
_atom_site_occupancy
Ba1 0.500 0.000 0.500 1
Fe1 0.000 0.500 0.500 1
Sr1 0.000 0.000 0.000 1
Sr2 0.500 0.500 0.000 1
```

---

Record 5
Cs4Ce6I19 after structural relaxation, computed with PBE.

Output
M_tot   9.02 Bohr magnetons per cell
ΔE_f (raw)   -39.8 eV/f.u.
Crystal system   cubic

Cell and atoms, written as CIF:
```
data_Cs4Ce6I19
_cell_length_a 12.428
_cell_length_b 12.428
_cell_length_c 12.428
_cell_angle_alpha 109.47
_cell_angle_beta 109.47
_cell_angle_gamma 109.47
_space_group_name_H-M_alt 'P 1'
_space_group_IT_number 1
_space_group_name_Hall 'P 1'
loop_
_atom_site_label
_atom_site_fract_x
_atom_site_fract_y
_atom_site_fract_z
_atom_site_occupancy
Cs1 0.000 0.000 0.690 1
Cs2 0.000 0.690 0.000 1
Cs3 0.310 0.310 0.310 1
Cs4 0.690 0.000 0.000 1
Ce1 0.347 0.500 0.847 1
Ce2 0.653 0.500 0.153 1
Ce3 0.153 0.653 0.500 1
Ce4 0.847 0.347 0.500 1
Ce5 0.500 0.847 0.347 1
Ce6 0.500 0.153 0.653 1
I1 0.660 0.000 0.660 1
I2 0.340 0.000 0.340 1
I3 0.340 0.340 0.000 1
I4 0.660 0.660 0.000 1
I5 0.000 0.660 0.660 1
I6 0.000 0.340 0.340 1
I7 0.000 0.000 0.000 1
I8 0.270 0.232 0.604 1
I9 0.730 0.333 0.962 1
I10 0.629 0.667 0.396 1
I11 0.962 0.730 0.333 1
I12 0.371 0.768 0.038 1
I13 0.604 0.270 0.232 1
I14 0.038 0.371 0.768 1
I15 0.396 0.629 0.667 1
I16 0.768 0.038 0.371 1
I17 0.333 0.962 0.730 1
I18 0.232 0.604 0.270 1
I19 0.667 0.396 0.629 1
```

---

Record 6
Hg12Sb3I5 after structural relaxation, computed with PBE.

Output
M_tot   0.00 Bohr magnetons per cell
ΔE_f (raw)   1.0 eV/f.u.
Crystal system   cubic

Cell and atoms, written as CIF:
```
data_Hg12Sb3I5
_cell_length_a 15.889
_cell_length_b 15.889
_cell_length_c 15.889
_cell_angle_alpha 109.47
_cell_angle_beta 109.47
_cell_angle_gamma 109.47
_space_group_name_H-M_alt 'P 1'
_space_group_IT_number 1
_space_group_name_Hall 'P 1'
loop_
_atom_site_label
_atom_site_fract_x
_atom_site_fract_y
_atom_site_fract_z
_atom_site_occupancy
Sb1 0.750 0.375 0.125 1
Sb2 0.875 0.750 0.125 1
Sb3 0.375 0.750 0.625 1
Sb4 0.250 0.125 0.375 1
Sb5 0.875 0.125 0.250 1
Sb6 0.375 0.625 0.250 1
Sb7 0.625 0.375 0.750 1
Sb8 0.125 0.875 0.750 1
Sb9 0.750 0.875 0.625 1
Sb10 0.625 0.250 0.375 1
Sb11 0.125 0.250 0.875 1
Sb12 0.250 0.625 0.875 1
I1 0.125 0.375 0.250 1
I2 0.000 0.500 0.000 1
I3 0.000 0.000 0.000 1
I4 0.375 0.250 0.125 1
I5 0.500 0.000 0.500 1
I6 0.500 0.500 0.000 1
I7 0.125 0.750 0.375 1
I8 0.750 0.125 0.875 1
I9 0.750 0.625 0.375 1
I10 0.375 0.125 0.750 1
I11 0.625 0.875 0.250 1
I12 0.500 0.500 0.500 1
I13 0.500 0.000 0.000 1
I14 0.000 0.000 0.500 1
I15 0.250 0.375 0.625 1
I16 0.250 0.875 0.125 1
I17 0.000 0.500 0.500 1
I18 0.875 0.250 0.625 1
I19 0.625 0.750 0.875 1
I20 0.875 0.625 0.750 1
Hg1 0.747 0.137 0.076 1
Hg2 0.329 0.576 0.439 1
Hg3 0.924 0.363 0.253 1
Hg4 0.576 0.247 0.137 1
Hg5 0.610 0.747 0.671 1
Hg6 0.924 0.561 0.171 1
Hg7 0.329 0.753 0.390 1
Hg8 0.061 0.890 0.137 1
Hg9 0.561 0.924 0.671 1
Hg10 0.747 0.610 0.171 1
Hg11 0.753 0.424 0.363 1
Hg12 0.829 0.939 0.076 1
Hg13 0.137 0.747 0.576 1
Hg14 0.363 0.439 0.110 1
Hg15 0.110 0.939 0.363 1
Hg16 0.390 0.137 0.561 1
Hg17 0.110 0.171 0.247 1
Hg18 0.424 0.671 0.061 1
Hg19 0.829 0.890 0.253 1
Hg20 0.137 0.390 0.061 1
Hg21 0.363 0.924 0.753 1
Hg22 0.561 0.637 0.390 1
Hg23 0.939 0.829 0.576 1
Hg24 0.753 0.329 0.890 1
Hg25 0.439 0.363 0.610 1
Hg26 0.061 0.171 0.424 1
Hg27 0.247 0.671 0.110 1
Hg28 0.171 0.110 0.747 1
Hg29 0.637 0.076 0.247 1
Hg30 0.863 0.610 0.939 1
Hg31 0.576 0.329 0.939 1
Hg32 0.610 0.863 0.439 1
Hg33 0.890 0.829 0.753 1
Hg34 0.890 0.061 0.637 1
Hg35 0.863 0.253 0.424 1
Hg36 0.171 0.061 0.924 1
Hg37 0.637 0.561 0.890 1
Hg38 0.439 0.076 0.329 1
Hg39 0.253 0.390 0.829 1
Hg40 0.247 0.576 0.637 1
Hg41 0.939 0.110 0.863 1
Hg42 0.671 0.247 0.610 1
Hg43 0.424 0.753 0.863 1
Hg44 0.076 0.439 0.829 1
Hg45 0.390 0.253 0.329 1
Hg46 0.076 0.637 0.747 1
Hg47 0.671 0.424 0.561 1
Hg48 0.253 0.863 0.924 1
```

---

Record 7
U5Tc2Ru2 after structural relaxation, computed with PBE.

Output
M_tot   0.00 Bohr magnetons per cell
Crystal system   triclinic
Calculated formation energy   -0.06 eV per atom

Cell and atoms, written as CIF:
```
data_U5Tc2Ru2
_cell_length_a 5.708
_cell_length_b 7.847
_cell_length_c 8.954
_cell_angle_alpha 121.57
_cell_angle_beta 103.43
_cell_angle_gamma 88.49
_space_group_name_H-M_alt 'P 1'
_space_group_IT_number 1
_space_group_name_Hall 'P 1'
loop_
_atom_site_label
_atom_site_fract_x
_atom_site_fract_y
_atom_site_fract_z
_atom_site_occupancy
U1 0.207 0.279 0.012 1
U2 0.098 0.625 0.026 1
U3 0.629 0.204 0.937 1
U4 0.542 0.909 0.983 1
U5 0.460 0.516 0.354 1
U6 0.084 0.540 0.622 1
U7 0.831 0.302 0.273 1
U8 0.651 0.575 0.683 1
U9 0.881 0.024 0.373 1
U10 0.450 0.875 0.379 1
Tc1 0.362 0.189 0.351 1
Tc2 0.250 0.852 0.638 1
Tc3 0.923 0.649 0.314 1
Tc4 0.762 0.276 0.709 1
Ru1 0.067 0.942 0.000 1
Ru2 0.576 0.596 0.005 1
Ru3 0.263 0.263 0.677 1
Ru4 0.792 0.884 0.664 1
```

---

Record 8
V2Ni2Os after structural relaxation, computed with PBE.

Output
M_tot   0.00 Bohr magnetons per cell
Relative energy among the computed polymorphs   0.83 eV per formula unit
Crystal system   monoclinic
Calculated formation energy   0.00 eV per atom

Cell and atoms, written as CIF:
```
data_V2Ni2Os
_cell_length_a 4.535
_cell_length_b 4.849
_cell_length_c 7.331
_cell_angle_alpha 122.11
_cell_angle_beta 108.02
_cell_angle_gamma 90.00
_space_group_name_H-M_alt 'P 1'
_space_group_IT_number 1
_space_group_name_Hall 'P 1'
loop_
_atom_site_label
_atom_site_fract_x
_atom_site_fract_y
_atom_site_fract_z
_atom_site_occupancy
V1 0.723 0.336 0.403 1
V2 0.680 0.836 0.403 1
V3 0.277 0.664 0.597 1
V4 0.320 0.164 0.597 1
Ni1 0.837 0.967 0.803 1
Ni2 0.034 0.533 0.197 1
Ni3 0.163 0.033 0.197 1
Ni4 0.966 0.467 0.803 1
Os1 0.595 0.750 0.000 1
Os2 0.405 0.250 0.000 1
```

---

The records above yield DOS at the Fermi energy values of 1.53 6.95 12.10 6.70 48.48 39.91 29.98 13.57 states/eV per cell, respectively.
The records above yield mass density values of 13.76 7.10 8.38 3.65 4.25 7.33 15.98 10.70 g/cm³, respectively.
The records above yield calculated total energy values of -27.27 -29.98 -27.00 -10.93 -108.22 -90.98 -192.55 -82.04 eV per cell, respectively.